Density functional theory data (GGA+U) for crystalline Mn3Tl4GaF12 at its relaxed geometry.

Results
The value obtained for the electronic total energy is -5.105 eV/atom.

Unit cell a=7.483 b=7.483 c=7.483 alpha=109.47 beta=109.47 gamma=109.47
Last column: magnetic moment on the atom in μB.
Sites, in units of the cell vectors:
Mn 0.500 0.000 0.500  4.67
Mn 0.500 0.500 0.000  4.67
Mn 0.000 0.500 0.500  4.67
Tl 0.500 0.000 0.000  -0.01
Tl 0.500 0.500 0.500  -0.01
Tl 0.000 0.000 0.500  -0.01
Tl 0.000 0.500 0.000  -0.01
Ga 0.000 0.000 0.000  -0.39
F 0.252 0.252 0.000  -0.03
F 0.500 0.750 0.250  0.04
F 0.250 0.500 0.750  0.04
F 0.750 0.250 0.500  0.04
F 0.748 0.000 0.748  -0.03
F 0.500 0.250 0.750  0.04
F 0.250 0.750 0.500  0.04
F 0.000 0.252 0.252  -0.03
F 0.748 0.748 0.000  -0.03
F 0.252 0.000 0.252  -0.03
F 0.000 0.748 0.748  -0.03
F 0.750 0.500 0.250  0.04